Run P
First-principles (PBE) data for HfTeCl2 after structural relaxation, as listed in Alexandria via LeMat-Bulk.

Cell and atoms, written as CIF:
```
data_HfTeCl2
_space_group_name_H-M_alt 'P 1'
_space_group_IT_number 1
_cell_length_a 11.719
_cell_length_b 11.719
_cell_length_c 11.719
_cell_angle_alpha 15.88
_cell_angle_beta 15.88
_cell_angle_gamma 15.88
loop_
_space_group_symop_operation_xyz
'x,y,z'
loop_
_atom_site_label
_atom_site_type_symbol
_atom_site_fract_x
_atom_site_fract_y
_atom_site_fract_z
Hf1 Hf 0.000 0.000 0.000
Te1 Te 0.500 0.500 0.500
Cl1 Cl 0.385 0.385 0.385
Cl2 Cl 0.615 0.615 0.615
```

## Properties
**V**: 26.3 Å³/atom
**Space group**: No. 166

=====

Run Q
First-principles (PBE) data for HfTeCl2 after structural relaxation, as listed in Alexandria via LeMat-Bulk.

Cell and atoms, written as CIF:
```
data_HfTeCl2
_space_group_name_H-M_alt 'P 1'
_space_group_IT_number 1
_cell_length_a 6.947
_cell_length_b 6.947
_cell_length_c 6.947
_cell_angle_alpha 99.05
_cell_angle_beta 99.05
_cell_angle_gamma 133.28
loop_
_space_group_symop_operation_xyz
'x,y,z'
loop_
_atom_site_label
_atom_site_type_symbol
_atom_site_fract_x
_atom_site_fract_y
_atom_site_fract_z
Hf1 Hf 0.000 0.000 0.000
Hf2 Hf 0.750 0.250 0.500
Te1 Te 0.250 0.750 0.500
Te2 Te 0.500 0.500 0.000
Cl1 Cl 0.375 0.242 0.367
Cl2 Cl 0.758 0.125 0.133
Cl3 Cl 0.875 0.008 0.633
Cl4 Cl 0.992 0.625 0.867
```

## Properties
**V**: 28.0 Å³/atom
**Space group**: No. 122

=====

run Q is the most stable structure; the next one sits 1.9 kJ/mol of atoms above it.

=====

Run P
First-principles (PBE) data for HfTeCl3 after structural relaxation, as listed in Alexandria via LeMat-Bulk.

Cell and atoms, written as CIF:
```
data_HfTeCl3
_space_group_name_H-M_alt 'P 1'
_space_group_IT_number 1
_cell_length_a 6.239
_cell_length_b 6.599
_cell_length_c 7.863
_cell_angle_alpha 89.89
_cell_angle_beta 90.00
_cell_angle_gamma 89.94
loop_
_space_group_symop_operation_xyz
'x,y,z'
loop_
_atom_site_label
_atom_site_type_symbol
_atom_site_fract_x
_atom_site_fract_y
_atom_site_fract_z
Hf1 Hf 0.000 0.000 0.000
Hf2 Hf 0.500 0.500 0.021
Te1 Te 0.264 0.503 0.314
Te2 Te 0.764 0.004 0.707
Cl1 Cl 0.220 0.003 0.266
Cl2 Cl 0.257 0.253 0.871
Cl3 Cl 0.259 0.752 0.870
Cl4 Cl 0.720 0.504 0.756
Cl5 Cl 0.757 0.752 0.151
Cl6 Cl 0.759 0.251 0.151
```

## Properties
**V**: 32.4 Å³/atom
**Space group**: No. 1

=====

Run Q
First-principles (PBE) data for HfTeCl3 after structural relaxation, as listed in Alexandria via LeMat-Bulk.

Cell and atoms, written as CIF:
```
data_HfTeCl3
_space_group_name_H-M_alt 'P 1'
_space_group_IT_number 1
_cell_length_a 5.481
_cell_length_b 5.481
_cell_length_c 5.481
_cell_angle_alpha 90.00
_cell_angle_beta 90.00
_cell_angle_gamma 90.00
loop_
_space_group_symop_operation_xyz
'x,y,z'
loop_
_atom_site_label
_atom_site_type_symbol
_atom_site_fract_x
_atom_site_fract_y
_atom_site_fract_z
Hf1 Hf 0.000 0.000 0.000
Te1 Te 0.500 0.500 0.500
Cl1 Cl 0.000 0.500 0.500
Cl2 Cl 0.500 0.000 0.500
Cl3 Cl 0.500 0.500 0.000
```

## Properties
**V**: 32.9 Å³/atom
**Space group**: No. 221

=====

run P is the most stable structure; the next one sits 170.0 kJ/mol of atoms above it.